Material: NaCuI
Method: DFT, PBE
State: relaxed

The space group is Imm2 (No. 44) and the conventional cell measures 5.1739, 15.3367 and 4.2693 Å, with angles of 90.00, 90.00 and 90.00 degrees. The asymmetric unit holds Na at (0.0000, 0.1259, 0.0000), Cu at (0.2292, 0.0000, 0.4989) and I at (0.0000, 0.3479, 0.0026).

As for the energy above the most stable polymorph in this dataset: 21.8 meV/atom. The total moment is 0.00 μB/cell.